Entry 1:
Entry from Alexandria: a relaxed structure of Tm2CdSn4 (PBE).

The structure in extended XYZ format:
```
7
Lattice="4.425 0.000 0.000 0.000 4.425 0.000 0.000 0.000 9.530" Properties=species:S:1:pos:R:3 pbc="T T T"
Sn 0.000 2.212 7.672
Sn 2.212 2.212 4.765
Sn 0.000 0.000 4.765
Sn 2.212 0.000 1.858
Tm 2.212 0.000 7.219
Tm 0.000 2.212 2.311
Cd 2.212 2.212 0.000
```

Output
As for the crystal system: tetragonal. The calculation puts the total energy at -4.03 eV per atom. The total magnetization comes out at 0.0 μB per formula unit. The energy of formation is -32 kJ/mol of atoms.

Entry 2:
Entry from Alexandria: a relaxed structure of Tm2CdSn2 (PBE).

The structure in extended XYZ format:
```
5
Lattice="-2.153 -1.039 -3.332 3.410 -1.841 -1.629 -3.707 -5.783 4.200" Properties=species:S:1:pos:R:3 pbc="T T T"
Sn 0.450 -5.122 1.307
Sn -0.747 -2.502 1.264
Tm -2.575 -5.536 0.867
Tm 0.125 -3.128 -1.628
Cd 0.000 0.000 0.000
```

Output
As for the crystal system: orthorhombic. The calculation puts the total energy at -3.91 eV per atom. The total magnetization comes out at 0.0 μB per formula unit. The energy of formation is -32 kJ/mol of atoms.

Entry 3:
Entry from Alexandria: a relaxed structure of Tm5Cd2Sn2 (PBE).

The structure in extended XYZ format:
```
18
Lattice="7.842 0.000 0.000 0.000 8.031 0.000 0.000 -4.016 7.862" Properties=species:S:1:pos:R:3 pbc="T T T"
Cd 1.001 5.043 0.000
Cd 2.920 1.027 0.000
Cd 4.922 7.004 0.000
Cd 6.841 2.989 0.000
Tm 6.517 5.401 2.214
Tm 0.000 0.000 0.000
Tm 5.245 1.385 2.214
Tm 3.921 4.016 0.000
Tm 6.517 1.385 5.648
Tm 2.596 2.630 5.648
Tm 1.325 2.630 2.214
Tm 1.325 -1.385 5.648
Tm 2.596 6.646 2.214
Tm 5.245 -2.630 5.648
Sn 0.000 0.000 3.222
Sn 3.921 4.016 3.222
Sn 0.000 4.016 4.640
Sn 3.921 0.000 4.640
```

Output
As for the crystal system: orthorhombic. The calculation puts the total energy at -3.98 eV per atom. The total magnetization comes out at 0.0 μB per formula unit. The energy of formation is -39 kJ/mol of atoms.

Entry 4:
Entry from Alexandria: a relaxed structure of Tm7Cd2Sn2 (PBE).

The structure in extended XYZ format:
```
11
Lattice="6.576 -0.002 -1.076 0.004 7.992 0.003 -1.484 -0.002 6.496" Properties=species:S:1:pos:R:3 pbc="T T T"
Tm 2.551 6.138 2.711
Tm 1.809 5.630 5.958
Tm 2.545 1.850 2.712
Tm 3.286 2.357 -0.535
Tm 0.000 0.000 0.000
Tm -0.737 5.633 3.248
Tm 5.833 2.355 2.175
Sn 4.097 3.992 4.361
Sn 0.998 3.995 1.062
Cd 4.327 7.990 1.044
Cd 0.769 -0.002 4.379
```

Output
As for the crystal system: orthorhombic. The calculation puts the total energy at -3.78 eV per atom. The total magnetization comes out at 0.0 μB per formula unit. The energy of formation is -4 kJ/mol of atoms.

Entry 5:
Entry from Alexandria: a relaxed structure of Tm4CdSn (PBE).

The structure in extended XYZ format:
```
12
Lattice="-1.854 -4.023 -2.923 4.567 1.098 -4.407 7.486 -4.731 6.579" Properties=species:S:1:pos:R:3 pbc="T T T"
Tm 4.339 -4.138 -1.875
Tm 2.097 -4.675 0.286
Tm 5.349 -6.599 0.870
Tm 9.485 -4.986 0.844
Tm 5.505 -0.899 -2.255
Tm 6.519 -3.361 0.489
Tm 4.192 -3.918 2.733
Tm 1.376 -2.510 -2.236
Cd 3.810 -2.117 -4.322
Cd 7.051 -5.380 2.930
Sn 7.300 -5.707 -1.594
Sn 3.556 -1.791 0.208
```

Output
As for the crystal system: orthorhombic. The calculation puts the total energy at -3.94 eV per atom. The total magnetization comes out at 0.0 μB per formula unit. The energy of formation is -13 kJ/mol of atoms.

Entry 6:
Entry from Alexandria: a relaxed structure of TmCdSn2 (PBE).

The structure in extended XYZ format:
```
4
Lattice="-2.776 -2.278 2.796 1.724 -2.391 3.467 -0.778 3.520 5.800" Properties=species:S:1:pos:R:3 pbc="T T T"
Tm -1.472 0.330 9.918
Sn -0.462 -0.228 3.059
Sn -0.666 2.196 4.832
Cd -0.921 -0.501 6.085
```

Output
As for the crystal system: trigonal. The calculation puts the total energy at -3.55 eV per atom. The total magnetization comes out at 0.0 μB per formula unit. The energy of formation is -20 kJ/mol of atoms.

Entry 7:
Entry from Alexandria: a relaxed structure of Tm2Cd5Sn (PBE).

The structure in extended XYZ format:
```
16
Lattice="4.439 0.000 0.000 0.000 6.515 0.000 0.000 0.000 13.058" Properties=species:S:1:pos:R:3 pbc="T T T"
Tm 2.219 5.040 4.991
Tm 2.219 1.783 1.538
Tm 2.219 4.732 11.520
Tm 2.219 1.475 8.066
Cd 0.000 3.257 6.529
Cd 0.000 3.404 3.315
Cd 2.219 5.036 1.741
Cd 0.000 6.368 9.844
Cd 0.000 0.000 0.000
Cd 0.000 3.111 9.742
Cd 2.219 1.779 4.788
Cd 2.219 4.736 8.270
Cd 0.000 0.147 3.213
Cd 2.219 1.478 11.317
Sn 0.000 3.257 0.000
Sn 0.000 0.000 6.529
```

Output
As for the crystal system: orthorhombic. The calculation puts the total energy at -2.50 eV per atom. The total magnetization comes out at 0.0 μB per formula unit. The energy of formation is -30 kJ/mol of atoms.

Entry 8:
Entry from Alexandria: a relaxed structure of TmCdSn2 (PBE).

The structure in extended XYZ format:
```
4
Lattice="3.459 -0.153 0.188 0.270 5.443 -0.534 -0.320 -0.530 5.440" Properties=species:S:1:pos:R:3 pbc="T T T"
Cd 1.570 -0.341 2.814
Tm 1.864 2.645 -0.173
Sn 0.000 0.000 0.000
Sn -0.025 2.456 2.453
```

Output
As for the crystal system: orthorhombic. The calculation puts the total energy at -3.66 eV per atom. The total magnetization comes out at 0.0 μB per formula unit. The energy of formation is -30 kJ/mol of atoms.

Entry 9:
Entry from Alexandria: a relaxed structure of Tm2CdSn4 (PBE).

The structure in extended XYZ format:
```
7
Lattice="-1.416 2.282 3.678 -2.579 -5.391 2.352 5.651 -1.088 2.850" Properties=species:S:1:pos:R:3 pbc="T T T"
Tm -0.537 -4.323 2.476
Tm 3.609 -2.155 2.727
Sn 2.332 -4.918 3.949
Sn 2.118 0.597 3.264
Sn 0.740 -1.560 1.253
Sn -1.998 -1.554 3.015
Cd 0.828 -2.098 4.440
```

Output
As for the crystal system: orthorhombic. The calculation puts the total energy at -4.07 eV per atom. The total magnetization comes out at 0.0 μB per formula unit. The energy of formation is -37 kJ/mol of atoms.

Entry 10:
Entry from Alexandria: a relaxed structure of Tm4Cd3Sn (PBE).

The structure in extended XYZ format:
```
8
Lattice="-0.476 -0.001 -3.688 -1.147 -5.079 0.150 -10.103 2.320 1.303" Properties=species:S:1:pos:R:3 pbc="T T T"
Cd -2.840 0.597 -1.508
Cd -7.738 1.722 -0.877
Cd -5.863 -1.380 -1.117
Tm -8.149 -0.800 1.052
Tm -5.051 1.160 0.652
Tm 0.000 0.000 0.000
Tm -3.101 -1.959 0.401
Sn -0.812 -2.540 -1.769
```

Output
As for the crystal system: orthorhombic. The calculation puts the total energy at -3.46 eV per atom. The total magnetization comes out at 0.0 μB per formula unit. The energy of formation is -37 kJ/mol of atoms.

Entry 11:
Entry from Alexandria: a relaxed structure of TmCd2Sn2 (PBE).

The structure in extended XYZ format:
```
10
Lattice="4.413 0.000 0.000 0.000 4.453 0.000 -2.206 0.000 12.208" Properties=species:S:1:pos:R:3 pbc="T T T"
Sn 0.000 3.340 6.105
Sn 0.000 1.113 3.285
Sn 2.206 3.340 8.923
Sn 2.206 1.113 6.102
Cd 2.206 1.113 11.079
Cd 2.206 1.113 1.083
Cd 0.000 3.340 1.129
Cd 0.000 3.340 11.125
Tm 2.206 3.340 3.690
Tm 0.000 1.113 8.518
```

Output
As for the crystal system: orthorhombic. The calculation puts the total energy at -3.18 eV per atom. The total magnetization comes out at 0.0 μB per formula unit. The energy of formation is -31 kJ/mol of atoms.

Entry 12:
Entry from Alexandria: a relaxed structure of TmCdSn2 (PBE).

The structure in extended XYZ format:
```
4
Lattice="-2.807 -1.651 3.710 2.110 -1.651 4.146 -0.401 3.474 4.527" Properties=species:S:1:pos:R:3 pbc="T T T"
Tm 0.000 0.000 0.000
Cd -0.549 0.086 6.191
Sn -0.277 0.117 3.127
Sn -0.821 0.054 9.256
```

Output
As for the crystal system: trigonal. The calculation puts the total energy at -3.50 eV per atom. The total magnetization comes out at 0.0 μB per formula unit. The energy of formation is -15 kJ/mol of atoms.

Entry 13:
Entry from Alexandria: a relaxed structure of TmCdSn2 (PBE).

The structure in extended XYZ format:
```
4
Lattice="-3.539 2.251 1.322 -0.307 -2.737 3.839 2.788 2.997 2.360" Properties=species:S:1:pos:R:3 pbc="T T T"
Tm -0.529 1.256 3.760
Cd -1.770 1.126 0.661
Sn -0.153 -1.368 1.920
Sn 1.394 1.499 1.180
```

Output
As for the crystal system: tetragonal. The calculation puts the total energy at -3.74 eV per atom. The total magnetization comes out at 0.0 μB per formula unit. The energy of formation is -38 kJ/mol of atoms.

Entry 14:
Entry from Alexandria: a relaxed structure of Tm6CdSn2 (PBE).

The structure in extended XYZ format:
```
18
Lattice="7.520 0.000 0.000 0.000 7.520 0.000 0.000 0.000 10.826" Properties=species:S:1:pos:R:3 pbc="T T T"
Tm 5.837 1.683 1.798
Tm 5.443 5.443 7.211
Tm 1.683 5.837 9.027
Tm 2.077 2.077 3.615
Tm 2.077 2.077 7.211
Tm 2.055 2.055 0.000
Tm 5.837 1.683 9.027
Tm 1.683 5.837 1.798
Tm 5.465 5.465 0.000
Tm 5.815 1.705 5.413
Tm 5.443 5.443 3.615
Tm 1.705 5.815 5.413
Sn 3.760 3.760 1.840
Sn 0.000 0.000 7.253
Sn 3.760 3.760 8.986
Sn 0.000 0.000 3.573
Cd 3.760 3.760 5.413
Cd 0.000 0.000 0.000
```

Output
As for the crystal system: tetragonal. The calculation puts the total energy at -3.88 eV per atom. The total magnetization comes out at 0.0 μB per formula unit. The energy of formation is 9 kJ/mol of atoms.

Entry 15:
Entry from Alexandria: a relaxed structure of YTmCdSn (PBE).

The structure in extended XYZ format:
```
4
Lattice="5.261 0.000 0.000 2.631 4.556 0.000 2.631 1.519 4.296" Properties=species:S:1:pos:R:3 pbc="T T T"
Tm 7.892 4.556 3.222
Sn 5.261 3.037 2.148
Y 2.631 1.519 1.074
Cd 0.000 0.000 0.000
```

Output
As for the crystal system: cubic. The calculation puts the total energy at -4.45 eV per atom. The total magnetization comes out at 0.0 μB per formula unit. The energy of formation is -47 kJ/mol of atoms.

Entry 16:
Entry from Alexandria: a relaxed structure of TmZnCdSn (PBE).

The structure in extended XYZ format:
```
4
Lattice="4.395 0.000 0.000 0.000 4.345 0.000 0.000 0.000 4.608" Properties=species:S:1:pos:R:3 pbc="T T T"
Sn 0.000 0.000 0.000
Zn 2.198 0.000 2.304
Cd 0.000 2.172 2.304
Tm 2.198 2.172 0.000
```

Output
As for the crystal system: orthorhombic. The calculation puts the total energy at -3.02 eV per atom. The total magnetization comes out at 0.0 μB per formula unit. The energy of formation is -34 kJ/mol of atoms.

Entry 17:
Entry from Alexandria: a relaxed structure of TmZrCdSn (PBE).

The structure in extended XYZ format:
```
4
Lattice="-1.861 -4.420 -1.765 3.116 -3.992 -0.686 -0.322 -4.054 3.095" Properties=species:S:1:pos:R:3 pbc="T T T"
Zr 0.000 0.000 0.000
Tm 0.467 -6.233 0.322
Cd 0.233 -3.117 0.161
Sn 0.700 -9.350 0.483
```

Output
As for the crystal system: cubic. The calculation puts the total energy at -4.77 eV per atom. The total magnetization comes out at 0.0 μB per formula unit. The energy of formation is -28 kJ/mol of atoms.

Entry 18:
Entry from Alexandria: a relaxed structure of UCdSn (PBE).

The structure in extended XYZ format:
```
3
Lattice="-0.840 -2.885 0.852 3.024 0.763 -0.157 -0.196 2.432 8.041" Properties=species:S:1:pos:R:3 pbc="T T T"
Sn 1.606 1.167 5.536
Cd 0.382 -0.855 3.208
U -0.196 2.429 8.034
```

Output
As for the crystal system: trigonal. The calculation puts the total energy at -5.28 eV per atom. The total magnetization comes out at 2.3 μB per formula unit. The energy of formation is 12 kJ/mol of atoms.

Entry 19:
Entry from Alexandria: a relaxed structure of U2CdSn9 (PBE).

The structure in extended XYZ format:
```
12
Lattice="4.586 0.000 0.000 0.000 4.586 0.000 0.000 0.000 14.726" Properties=species:S:1:pos:R:3 pbc="T T T"
Sn 2.293 0.000 2.561
Sn 2.293 2.293 0.000
Sn 2.293 2.293 9.772
Sn 0.000 2.293 12.165
Sn 0.000 2.293 2.561
Sn 2.293 0.000 12.165
Sn 2.293 2.293 4.954
Sn 2.293 0.000 7.363
Sn 0.000 2.293 7.363
U 0.000 0.000 5.078
U 0.000 0.000 9.648
Cd 0.000 0.000 0.000
```

Output
As for the crystal system: tetragonal. The calculation puts the total energy at -4.99 eV per atom. The total magnetization comes out at 4.9 μB per formula unit. The energy of formation is -3 kJ/mol of atoms.

Entry 20:
Entry from Alexandria: a relaxed structure of UCdSn (PBE).

The structure in extended XYZ format:
```
6
Lattice="3.828 0.000 0.000 0.000 5.135 -0.279 0.000 -1.409 7.328" Properties=species:S:1:pos:R:3 pbc="T T T"
Sn 2.871 2.627 1.103
Sn 0.957 1.100 5.946
U 0.957 0.038 0.814
U 2.871 3.688 6.235
Cd 0.957 3.207 3.463
Cd 2.871 0.519 3.585
```

Output
As for the crystal system: monoclinic. The calculation puts the total energy at -5.39 eV per atom. The total magnetization comes out at 0.0 μB per formula unit. The energy of formation is 1 kJ/mol of atoms.